DFT (GGA-PBE) results for a relaxed structure of K2CoPt.

Results
Energy above the lowest structure with this stoichiometry in meV per atom: 538
Crystal system: tetragonal
N(E_F) in states/eV/f.u.: 5.33
Size of the total moment in μB per formula unit: 1.8
Formation energy in eV per atom: 0.7201

```
data_K2CoPt
_space_group_name_H-M_alt 'P 4/m m m'
_space_group_IT_number 123
_space_group_name_Hall '-P 4 2'
_cell_length_a 4.120
_cell_length_b 4.120
_cell_length_c 5.192
_cell_angle_alpha 90.00
_cell_angle_beta 90.00
_cell_angle_gamma 90.00
loop_
_atom_site_label
_atom_site_fract_x
_atom_site_fract_y
_atom_site_fract_z
K1 0.000 0.500 0.000
Co1 0.000 0.000 0.500
Pt1 0.500 0.500 0.500
```